Density functional theory data (PBE) for crystalline Pm3Tm4Sc2 at its relaxed geometry.

Its symmetry is C2/c, No. 15. The density of states at the Fermi level is 13.648 states/eV/f.u. The theoretical density is 7.36 g/cm³. The value obtained for the formation energy is 1.03 eV/f.u. Its size of the total moment is 0.001 μB per formula unit. For the energy above the most stable polymorph in this dataset, the calculation gives 89.6 meV/atom.

Cell: 9.804 9.804 6.003 Å, 95.65 95.65 71.16°
Positions (direct):
Pm 0.130 0.870 0.750
Pm 0.186 0.476 0.920
Pm 0.476 0.186 0.420
Pm 0.524 0.814 0.580
Pm 0.814 0.524 0.080
Pm 0.870 0.130 0.250
Tm 0.108 0.332 0.383
Tm 0.317 0.562 0.463
Tm 0.332 0.108 0.883
Tm 0.438 0.683 0.037
Tm 0.562 0.317 0.963
Tm 0.668 0.892 0.117
Tm 0.683 0.438 0.537
Tm 0.892 0.668 0.617
Sc 0.020 0.773 0.200
Sc 0.227 0.980 0.300
Sc 0.773 0.020 0.700
Sc 0.980 0.227 0.800



Density functional theory data (PBE) for crystalline Pm6Tm3Sc at its relaxed geometry.

Its symmetry is R3, No. 146. The density of states at the Fermi level is 19.999 states/eV/f.u. The theoretical density is 7.15 g/cm³. The value obtained for the formation energy is 2.16 eV/f.u. Its size of the total moment is 0.000 μB per formula unit. For the energy above the most stable polymorph in this dataset, the calculation gives 77.2 meV/atom.

Cell: 6.912 6.912 6.912 Å, 90.26 90.26 90.26°
Positions (direct):
Pm 0.001 0.672 0.328
Pm 0.163 0.506 0.833
Pm 0.328 0.001 0.672
Pm 0.506 0.833 0.163
Pm 0.672 0.328 0.001
Pm 0.833 0.163 0.506
Tm 0.161 0.161 0.161
Tm 0.415 0.415 0.415
Tm 0.670 0.670 0.670
Sc 0.915 0.915 0.915



Density functional theory data (PBE) for crystalline PmTm6Sc12 at its relaxed geometry.

Its symmetry is R-3m, No. 166. The density of states at the Fermi level is 28.408 states/eV/f.u. The theoretical density is 5.19 g/cm³. The value obtained for the formation energy is 9.34 eV/f.u. Its size of the total moment is 0.012 μB per formula unit.

Cell: 8.304 8.304 8.304 Å, 99.91 99.91 99.91°
Positions (direct):
Pm 0.000 0.000 0.000
Tm 0.220 0.220 0.738
Tm 0.220 0.738 0.220
Tm 0.262 0.780 0.780
Tm 0.738 0.220 0.220
Tm 0.780 0.262 0.780
Tm 0.780 0.780 0.262
Sc 0.115 0.500 0.885
Sc 0.115 0.885 0.500
Sc 0.168 0.459 0.459
Sc 0.459 0.168 0.459
Sc 0.459 0.459 0.168
Sc 0.500 0.115 0.885
Sc 0.500 0.885 0.115
Sc 0.541 0.541 0.832
Sc 0.541 0.832 0.541
Sc 0.832 0.541 0.541
Sc 0.885 0.115 0.500
Sc 0.885 0.500 0.115